! CoI2NO (GGA+U, optimized geometry); values from VASP
! * DFT total energy: -3.215 eV per atom
! * space-group type: P4/mmm
&SYSTEM
  ibrav = 0, nat = 5, ntyp = 4
/
ATOMIC_SPECIES
Co 58.93 Co.upf
I 126.90 I.upf
N 14.01 N.upf
O 16.00 O.upf
ATOMIC_POSITIONS angstrom
Co 0.000 0.000 0.000
I 0.000 2.630 0.000
I 2.630 0.000 0.000
N 0.000 0.000 1.680
O 2.630 2.630 1.680
CELL_PARAMETERS angstrom
5.260 0.000 0.000
0.000 5.260 0.000
0.000 0.000 3.359